No. 1
Density functional theory data (PBE) for TiZnAsBr2 after structural relaxation.

Computed properties:
Crystal system: tetragonal
Energy above the lowest structure with this stoichiometry: 646 meV per atom
Space group: No. 123

POSCAR file:
```
TiZnAsBr2
1.0
-2.739 -1.139 -3.987
-2.223 -3.630 2.564
-3.579 3.269 1.526
As Zn Br Ti
1 1 2 1
Direct
0.000 0.000 0.500 As
0.000 0.000 0.000 Zn
0.000 0.500 0.000 Br
0.500 0.000 0.000 Br
0.500 0.500 0.500 Ti
```

No. 2
Density functional theory data (PBE) for TiZnAs2Br after structural relaxation.

Computed properties:
Crystal system: tetragonal
Energy above the lowest structure with this stoichiometry: 0 meV per atom
Space group: No. 123

POSCAR file:
```
TiZnAs2Br
1.0
4.938 0.000 0.000
0.000 4.938 0.000
0.000 0.000 5.143
As Zn Br Ti
2 1 1 1
Direct
0.000 0.500 0.000 As
0.500 0.000 0.000 As
0.500 0.500 0.500 Zn
0.000 0.000 0.500 Br
0.000 0.000 0.000 Ti
```

No. 3
Density functional theory data (PBE) for TiZnAsBr2 after structural relaxation.

Computed properties:
Crystal system: tetragonal
Energy above the lowest structure with this stoichiometry: 0 meV per atom
Space group: No. 123

POSCAR file:
```
TiZnAsBr2
1.0
5.042 0.000 0.000
0.000 5.042 0.000
0.000 0.000 5.155
As Zn Br Ti
1 1 2 1
Direct
0.000 0.000 0.500 As
0.500 0.500 0.500 Zn
0.000 0.500 0.000 Br
0.500 0.000 0.000 Br
0.000 0.000 0.000 Ti
```

No. 4
Density functional theory data (PBE) for Zr2TiAsBr after structural relaxation.

Computed properties:
Crystal system: tetragonal
Space group: No. 123

POSCAR file:
```
Zr2TiAsBr
1.0
-1.366 4.337 -2.341
-4.325 -0.386 1.808
1.475 2.678 4.100
As Br Zr Ti
1 1 2 1
Direct
0.000 0.500 0.000 As
0.500 0.500 0.500 Br
0.000 0.000 0.500 Zr
0.500 0.000 0.000 Zr
0.000 0.000 0.000 Ti
```

No. 5
Density functional theory data (PBE) for TlAsBr3 after structural relaxation.

Computed properties:
Crystal system: cubic
Energy above the lowest structure with this stoichiometry: 105 meV per atom
Space group: No. 221

POSCAR file:
```
TlAsBr3
1.0
5.453 0.000 0.000
0.000 5.453 0.000
0.000 0.000 5.453
Tl As Br
1 1 3
Direct
0.500 0.500 0.500 Tl
0.000 0.000 0.000 As
0.000 0.500 0.000 Br
0.000 0.000 0.500 Br
0.500 0.000 0.000 Br
```

No. 6
Density functional theory data (PBE) for TlAs2Br after structural relaxation.

Computed properties:
Crystal system: tetragonal
Energy above the lowest structure with this stoichiometry: 742 meV per atom
Space group: No. 123

POSCAR file:
```
TlAs2Br
1.0
-5.262 -0.948 -0.340
0.984 -4.461 -2.798
0.131 -1.739 2.819
Tl As Br
1 2 1
Direct
0.000 0.500 0.500 Tl
0.000 0.000 0.000 As
0.500 0.500 0.000 As
0.500 0.000 0.500 Br
```

No. 7
Density functional theory data (PBE) for TlAs2Br after structural relaxation.

Computed properties:
Crystal system: triclinic
Energy above the lowest structure with this stoichiometry: 77 meV per atom
Space group: No. 1

POSCAR file:
```
TlAs2Br
1.0
-4.074 0.248 3.532
2.998 -6.017 -1.989
2.408 0.319 2.754
Tl As Br
1 2 1
Direct
0.850 0.317 0.499 Tl
0.984 0.905 0.001 As
0.231 0.841 0.500 As
0.435 0.437 0.000 Br
```

No. 8
Density functional theory data (PBE) for TlAs2Br after structural relaxation.

Computed properties:
Crystal system: monoclinic
Energy above the lowest structure with this stoichiometry: 104 meV per atom
Space group: No. 6

POSCAR file:
```
TlAs2Br
1.0
3.676 0.000 0.000
0.000 4.432 0.020
0.000 2.302 7.727
Tl As Br
1 2 1
Direct
0.500 0.847 0.720 Tl
0.000 0.932 0.122 As
0.500 0.280 0.120 As
0.000 0.441 0.538 Br
```

No. 9
Density functional theory data (PBE) for Tl6AsBr12 after structural relaxation.

Computed properties:
Crystal system: trigonal
Space group: No. 148

POSCAR file:
```
Tl6AsBr12
1.0
8.895 0.140 0.168
-1.210 8.814 0.168
-1.210 -1.409 8.702
Tl As Br
6 1 12
Direct
0.693 0.858 0.358 Tl
0.642 0.307 0.142 Tl
0.142 0.642 0.307 Tl
0.307 0.142 0.642 Tl
0.358 0.693 0.858 Tl
0.858 0.358 0.693 Tl
0.000 0.000 0.000 As
0.828 0.568 0.427 Br
0.427 0.828 0.568 Br
0.568 0.427 0.828 Br
0.172 0.432 0.573 Br
0.573 0.172 0.432 Br
0.432 0.573 0.172 Br
0.052 0.991 0.302 Br
0.009 0.698 0.948 Br
0.698 0.948 0.009 Br
0.948 0.009 0.698 Br
0.991 0.302 0.052 Br
0.302 0.052 0.991 Br
```

No. 10
Density functional theory data (PBE) for TlAs4Br after structural relaxation.

Computed properties:
Crystal system: cubic
Space group: No. 216

POSCAR file:
```
TlAs4Br
1.0
0.000 4.505 4.505
4.505 0.000 4.505
4.505 4.505 0.000
Tl As Br
1 4 1
Direct
0.000 0.000 0.000 Tl
0.790 0.403 0.403 As
0.403 0.403 0.790 As
0.403 0.790 0.403 As
0.403 0.403 0.403 As
0.750 0.750 0.750 Br
```

No. 11
Density functional theory data (PBE) for TlAs2Br after structural relaxation.

Computed properties:
Crystal system: trigonal
Energy above the lowest structure with this stoichiometry: 737 meV per atom
Space group: No. 166

POSCAR file:
```
TlAs2Br
1.0
-2.226 1.153 -9.526
-4.621 -1.055 -8.635
-5.096 2.249 -8.124
Tl As Br
1 2 1
Direct
0.750 0.750 0.750 Tl
0.997 0.997 0.997 As
0.503 0.503 0.503 As
0.250 0.250 0.250 Br
```

No. 12
Density functional theory data (PBE) for TlAs2Br after structural relaxation.

Computed properties:
Crystal system: tetragonal
Energy above the lowest structure with this stoichiometry: 782 meV per atom
Space group: No. 122

POSCAR file:
```
TlAs2Br
1.0
5.908 0.000 0.000
0.000 5.908 0.000
2.954 2.954 7.488
Tl As Br
2 4 2
Direct
0.000 0.000 0.000 Tl
0.750 0.250 0.500 Tl
0.605 0.125 0.250 As
0.145 0.625 0.250 As
0.375 0.395 0.750 As
0.875 0.855 0.750 As
0.500 0.500 0.000 Br
0.250 0.750 0.500 Br
```

No. 13
Density functional theory data (PBE) for Tl4AsBr2 after structural relaxation.

Computed properties:
Crystal system: tetragonal
Space group: No. 139

POSCAR file:
```
Tl4AsBr2
1.0
-0.487 0.615 -5.667
-2.173 -5.278 -0.387
-9.424 0.925 -1.978
Tl As Br
4 1 2
Direct
0.827 0.827 0.345 Tl
0.173 0.173 0.655 Tl
0.000 0.500 0.000 Tl
0.500 0.000 0.000 Tl
0.000 0.000 0.000 As
0.625 0.625 0.750 Br
0.375 0.375 0.250 Br
```

No. 14
Density functional theory data (PBE) for TlAs2Br after structural relaxation.

Computed properties:
Crystal system: orthorhombic
Energy above the lowest structure with this stoichiometry: 564 meV per atom
Space group: No. 47

POSCAR file:
```
TlAs2Br
1.0
-0.554 0.981 -3.094
3.112 -3.922 -1.802
-4.416 -3.375 -0.279
Tl As Br
1 2 1
Direct
0.000 0.500 0.500 Tl
0.000 0.000 0.000 As
0.500 0.500 0.000 As
0.500 0.000 0.500 Br
```

No. 15
Density functional theory data (PBE) for Tl2AsBr5 after structural relaxation.

Computed properties:
Crystal system: tetragonal
Space group: No. 107

POSCAR file:
```
Tl2AsBr5
1.0
7.929 0.000 0.000
0.000 7.929 0.000
-3.964 -3.964 4.814
Tl As Br
2 1 5
Direct
0.217 0.717 0.434 Tl
0.717 0.217 0.434 Tl
0.003 0.003 0.007 As
0.783 0.259 0.042 Br
0.259 0.259 0.042 Br
0.783 0.783 0.042 Br
0.259 0.783 0.042 Br
0.756 0.757 0.513 Br
```

No. 16
Density functional theory data (PBE) for TlAsBr4 after structural relaxation.

Computed properties:
Crystal system: cubic
Energy above the lowest structure with this stoichiometry: 1056 meV per atom
Space group: No. 216

POSCAR file:
```
TlAsBr4
1.0
-5.281 2.224 3.002
-2.855 5.422 -2.071
-5.756 -0.294 -2.938
Tl As Br
1 1 4
Direct
0.750 0.750 0.750 Tl
0.000 0.000 0.000 As
0.876 0.375 0.375 Br
0.375 0.375 0.876 Br
0.375 0.876 0.375 Br
0.375 0.375 0.375 Br
```

No. 17
Density functional theory data (PBE) for TlAs2Br8 after structural relaxation.

Computed properties:
Crystal system: monoclinic
Space group: No. 12

POSCAR file:
```
TlAs2Br8
1.0
-7.707 -0.898 -3.038
-1.644 -7.899 1.076
-4.398 -2.370 6.426
Tl As Br
1 2 8
Direct
0.000 0.000 0.000 Tl
0.679 0.778 0.778 As
0.321 0.222 0.222 As
0.222 0.370 0.921 Br
0.778 0.079 0.630 Br
0.358 0.861 0.861 Br
0.642 0.139 0.139 Br
0.222 0.921 0.370 Br
0.778 0.630 0.079 Br
0.868 0.600 0.600 Br
0.132 0.400 0.400 Br
```

No. 18
Density functional theory data (PBE) for Tl6As3Br14 after structural relaxation.

Computed properties:
Crystal system: trigonal
Space group: No. 143

POSCAR file:
```
Tl6As3Br14
1.0
7.877 0.000 0.000
0.000 9.862 -5.694
0.000 0.000 11.388
Tl As Br
6 3 14
Direct
0.243 0.820 0.110 Tl
0.243 0.890 0.710 Tl
0.243 0.290 0.180 Tl
0.841 0.522 0.549 Tl
0.841 0.451 0.973 Tl
0.841 0.027 0.478 Tl
0.792 0.000 0.000 As
0.374 0.333 0.667 As
0.441 0.667 0.333 As
0.970 0.090 0.239 Br
0.970 0.761 0.851 Br
0.970 0.149 0.910 Br
0.516 0.236 0.447 Br
0.516 0.553 0.789 Br
0.516 0.211 0.764 Br
0.470 0.000 0.000 Br
0.992 0.333 0.667 Br
0.625 0.759 0.208 Br
0.625 0.792 0.552 Br
0.625 0.448 0.241 Br
0.228 0.573 0.469 Br
0.228 0.531 0.104 Br
0.228 0.896 0.427 Br
```

No. 19
Density functional theory data (PBE) for TlAs3Br after structural relaxation.

Computed properties:
Crystal system: cubic
Energy above the lowest structure with this stoichiometry: 0 meV per atom
Space group: No. 221

POSCAR file:
```
TlAs3Br
1.0
-3.668 -0.415 -3.683
-2.166 -3.965 2.603
-3.008 3.361 2.617
Tl As Br
1 3 1
Direct
0.500 0.500 0.500 Tl
0.000 0.500 0.000 As
0.000 0.000 0.500 As
0.500 0.000 0.000 As
0.000 0.000 0.000 Br
```

No. 20
Density functional theory data (PBE) for TlAsBr5 after structural relaxation.

Computed properties:
Crystal system: monoclinic
Space group: No. 15

POSCAR file:
```
TlAsBr5
1.0
8.003 -1.764 0.719
0.866 8.150 0.719
4.181 3.010 8.937
Tl As Br
2 2 10
Direct
0.364 0.636 0.250 Tl
0.636 0.364 0.750 Tl
0.000 0.000 0.000 As
0.000 0.000 0.500 As
0.739 0.662 0.207 Br
0.161 0.739 0.491 Br
0.662 0.739 0.707 Br
0.935 0.065 0.250 Br
0.261 0.839 0.009 Br
0.739 0.161 0.991 Br
0.065 0.935 0.750 Br
0.338 0.261 0.293 Br
0.839 0.261 0.509 Br
0.261 0.338 0.793 Br
```

Across the entries above, formation energy (no corrections) takes the values 439 53 -207 337 -440 475 -190 -164 -558 -72 469 515 -285 297 -633 493 -405 -570 969 -393 meV/atom, respectively.
Across the entries above, electronic total energy takes the values -2.9939 -3.9750 -3.6402 -5.9260 -2.8466 -2.8598 -3.5250 -3.4983 -2.6065 -3.8444 -2.8653 -2.8198 -2.7789 -3.0378 -2.8510 -1.7916 -2.6819 -2.8116 -2.6283 -2.5903 eV/atom, respectively.
Across the entries above, total magnetization takes the values 0.206 0.001 0.002 0.000 0.000 0.000 0.000 0.000 0.000 0.000 0.000 0.000 0.000 0.000 0.000 1.899 0.000 1.003 0.000 0.000 Bohr magnetons per cell, respectively.